A plane-wave DFT calculation with PBE was carried out for an optimized crystal structure of Pa3Mn5Se12.

POSCAR file:
```
Pa3Mn5Se12
1.0
-7.918 7.918 7.918
7.918 -7.918 7.918
7.918 7.918 -7.918
Pa Mn Se
12 20 48
direct
0.125 0.250 0.375
0.125 0.375 0.750
0.250 0.375 0.125
0.250 0.875 0.625
0.375 0.125 0.250
0.375 0.750 0.125
0.625 0.250 0.875
0.625 0.875 0.750
0.750 0.125 0.375
0.750 0.625 0.875
0.875 0.625 0.250
0.875 0.750 0.625
0.000 0.000 0.000
0.000 0.000 0.500
0.000 0.500 0.000
0.000 0.500 0.500
0.125 0.750 0.875
0.125 0.875 0.250
0.250 0.125 0.875
0.250 0.625 0.375
0.375 0.250 0.625
0.375 0.625 0.750
0.500 0.000 0.000
0.500 0.000 0.500
0.500 0.500 0.000
0.500 0.500 0.500
0.625 0.375 0.250
0.625 0.750 0.375
0.750 0.375 0.625
0.750 0.875 0.125
0.875 0.125 0.750
0.875 0.250 0.125
0.040 0.216 0.126
0.040 0.324 0.914
0.086 0.626 0.410
0.086 0.960 0.676
0.090 0.716 0.676
0.090 0.874 0.414
0.126 0.040 0.216
0.126 0.586 0.910
0.176 0.216 0.590
0.176 0.460 0.586
0.216 0.126 0.040
0.216 0.590 0.176
0.284 0.324 0.910
0.284 0.460 0.374
0.324 0.910 0.284
0.324 0.914 0.040
0.374 0.284 0.460
0.374 0.590 0.914
0.410 0.086 0.626
0.410 0.824 0.784
0.414 0.090 0.874
0.414 0.824 0.540
0.460 0.374 0.284
0.460 0.586 0.176
0.540 0.414 0.824
0.540 0.626 0.716
0.586 0.176 0.460
0.586 0.910 0.126
0.590 0.176 0.216
0.590 0.914 0.374
0.626 0.410 0.086
0.626 0.716 0.540
0.676 0.086 0.960
0.676 0.090 0.716
0.716 0.540 0.626
0.716 0.676 0.090
0.784 0.410 0.824
0.784 0.874 0.960
0.824 0.540 0.414
0.824 0.784 0.410
0.874 0.414 0.090
0.874 0.960 0.784
0.910 0.126 0.586
0.910 0.284 0.324
0.914 0.040 0.324
0.914 0.374 0.590
0.960 0.676 0.086
0.960 0.784 0.874
```

Properties
DOS at the Fermi energy   0.50 states/eV/atom
Space-group type   No. 230
Total DFT energy (no corrections)   -6.64 eV/atom